DFT (GGA-PBE) results for crystalline GaTcSe at its relaxed geometry.

```
GaTcSe
1.0
7.6688 0.0000 -0.0007
0.0000 3.2066 0.0000
-4.5936 0.0000 8.1914
Tc Se Ga
4 4 4
direct
0.8017 0.0000 0.4796
0.4078 0.0000 0.1789
0.4078 0.5000 0.6789
0.8017 0.5000 0.9796
0.1486 0.5000 0.9907
0.5175 0.0000 0.9313
0.1486 0.0000 0.4907
0.5175 0.5000 0.4313
0.7399 0.0000 0.7371
0.0661 0.0000 0.1970
0.7399 0.5000 0.2371
0.0661 0.5000 0.6970
```

Computed properties:
The calculation puts the density of states at the Fermi level at 2.4 states/eV/cell. Its space group is Cm. Its mass density is 8.135 g cm⁻³. The formation energy (no corrections) comes out at -182 meV per atom. The calculation puts the total energy at -5.808 eV per atom. Its energy above the lowest structure with this stoichiometry is 3.9 kJ/mol of atoms.